1.
LuTi2In | PBE-GGA | relaxed

density of states at the Fermi level = 5.6 states/eV/cell
ΔH_f (0 K) = -4.2 kJ/mol of atoms
SG = P4/mmm

a b c (Å): 4.3282 4.3651 4.3651
angles (deg): 90.00 90.00 90.00
With the nearest neighbours (Å) after each atom.
Positions (direct):
Lu: 0.5000 0.0000 0.0000  8 Ti 3.07, 4 In 3.09
Ti: 0.0000 0.0000 0.5000  4 In 3.07, 4 Lu 3.07, 4 Ti 3.09
Ti: 0.0000 0.5000 0.0000  4 In 3.07, 4 Lu 3.07, 4 Ti 3.09
In: 0.5000 0.5000 0.5000  8 Ti 3.07, 4 Lu 3.09


2.
Sm5Hg2Pt | PBE-GGA | relaxed

density of states at the Fermi level = 15.6 states/eV/cell
ΔH_f (0 K) = -52.5 kJ/mol of atoms
SG = Pbam

a b c (Å): 4.9982 7.2114 12.5765
angles (deg): 90.00 90.00 90.00
With the nearest neighbours (Å) after each atom.
Positions (direct):
Sm: 0.0000 0.0000 0.5000  4 Hg 3.29, 4 Sm 3.58, 2 Pt 3.61
Sm: 0.0000 0.5000 0.0000  4 Hg 3.29, 4 Sm 3.58, 2 Pt 3.61
Sm: 0.0000 0.8600 0.2104  1 Pt 2.83
Sm: 0.0000 0.1400 0.7896  1 Pt 2.83
Sm: 0.0000 0.6400 0.7104  1 Pt 2.83
Sm: 0.0000 0.3600 0.2896  1 Pt 2.83
Sm: 0.5000 0.6766 0.4156  2 Pt 3.00, 2 Hg 3.13-3.24, 1 Sm 3.32
Sm: 0.5000 0.3234 0.5844  2 Pt 3.00, 2 Hg 3.13-3.24, 1 Sm 3.32
Sm: 0.5000 0.8234 0.9156  2 Pt 3.00, 2 Hg 3.13-3.24, 1 Sm 3.32
Sm: 0.5000 0.1766 0.0844  2 Pt 3.00, 2 Hg 3.13-3.24, 1 Sm 3.32
Hg: 0.5000 0.5880 0.1631  8 Sm 3.13-3.39
Hg: 0.5000 0.4120 0.8369  8 Sm 3.13-3.39
Hg: 0.5000 0.9120 0.6631  8 Sm 3.13-3.39
Hg: 0.5000 0.0880 0.3369  8 Sm 3.13-3.39
Pt: 0.0000 0.5000 0.5000  6 Sm 2.83-3.00
Pt: 0.0000 0.0000 0.0000  6 Sm 2.83-3.00


3.
MgGeRh2 | PBE-GGA | relaxed

density of states at the Fermi level = 1.4 states/eV/cell
ΔH_f (0 K) = -20.2 kJ/mol of atoms
SG = I-42d

a b c (Å): 6.8807 6.8807 5.6389
angles (deg): 52.40 52.40 90.00
With the nearest neighbours (Å) after each atom.
Positions (direct):
Ge: 0.0000 0.0000 0.0000  4 Rh 2.35
Ge: 0.7500 0.2500 0.5000  4 Rh 2.35
Rh: 0.6672 0.1250 0.2500  2 Ge 2.35
Rh: 0.0828 0.6250 0.2500  2 Ge 2.35
Rh: 0.3750 0.3328 0.7500  2 Ge 2.35
Rh: 0.8750 0.9172 0.7500  2 Ge 2.35
Mg: 0.5000 0.5000 0.0000  4 Rh 2.74, 2 Ge 2.85
Mg: 0.2500 0.7500 0.5000  4 Rh 2.74, 2 Ge 2.85


4.
K5NaCd4 | PBE-GGA | relaxed

density of states at the Fermi level = 5.1 states/eV/cell
ΔH_f (0 K) = -4.0 kJ/mol of atoms
SG = C2/m

a b c (Å): 4.7562 9.6489 11.8404
angles (deg): 118.19 101.59 90.00
With the nearest neighbours (Å) after each atom.
Positions (direct):
K: 0.1473 0.2790 0.2946  4 Cd 3.79-3.95, 2 Na 3.96
K: 0.1940 0.7791 0.3880  4 Cd 3.65-3.83
K: 0.8060 0.2209 0.6120  4 Cd 3.65-3.83
K: 0.5000 0.5000 0.0000  6 Cd 3.73-3.92
K: 0.8527 0.7210 0.7054  4 Cd 3.79-3.95, 2 Na 3.96
Na: 0.5000 0.0000 0.0000  6 Cd 3.20-3.26
Cd: 0.6275 0.9530 0.2551  2 Cd 2.97, 1 Na 3.20
Cd: 0.9595 0.1682 0.9190  2 Cd 2.97, 2 Na 3.26
Cd: 0.3725 0.0470 0.7449  2 Cd 2.97, 1 Na 3.20
Cd: 0.0405 0.8318 0.0810  2 Cd 2.97, 2 Na 3.26


5.
ErPuFeNi | PBE-GGA | relaxed

density of states at the Fermi level = 9.4 states/eV/cell
ΔH_f (0 K) = -2.9 kJ/mol of atoms
SG = F-43m

a b c (Å): 4.7125 4.7125 4.7125
angles (deg): 60.00 60.00 60.00
With the nearest neighbours (Å) after each atom.
Positions (direct):
Ni: 0.2500 0.2500 0.2500  4 Er 2.89, 4 Pu 2.89
Er: 0.5000 0.5000 0.5000  4 Fe 2.89, 4 Ni 2.89
Fe: 0.7500 0.7500 0.7500  4 Er 2.89, 4 Pu 2.89
Pu: 0.0000 0.0000 0.0000  4 Ni 2.89, 4 Fe 2.89


6.
SiAg2Mo | PBE-GGA | relaxed

E_form (uncorrected) = 0.397 eV per atom
density of states at the Fermi level = 3.1 states/eV/cell
SG = Cmmm

a b c (Å): 5.2909 5.2909 2.7319
angles (deg): 90.00 90.00 120.27
With the nearest neighbours (Å) after each atom.
Positions (direct):
Ag: 0.0000 0.0000 0.0000  4 Ag 2.63-2.73
Ag: 0.5000 0.5000 0.0000  4 Ag 2.63-2.73
Mo: 0.5000 0.0000 0.5000  2 Si 2.63, 2 Mo 2.73
Si: 0.0000 0.5000 0.5000  2 Mo 2.63, 2 Si 2.73


7.
CsHg2AsRh | PBE-GGA | relaxed

density of states at the Fermi level = 3.9 states/eV/cell
ΔH_f (0 K) = -16.0 kJ/mol of atoms
SG = P4/mmm

a b c (Å): 5.4826 5.4826 4.8070
angles (deg): 90.00 90.00 90.00
With the nearest neighbours (Å) after each atom.
Positions (direct):
Cs: 0.5000 0.5000 0.5000  8 Hg 3.65, 4 As 3.88
As: 0.0000 0.0000 0.5000  2 Rh 2.40
Rh: 0.0000 0.0000 0.0000  2 As 2.40
Hg: 0.0000 0.5000 0.0000  2 Rh 2.74
Hg: 0.5000 0.0000 0.0000  2 Rh 2.74


8.
LaPr2Mg2Pb2 | PBE-GGA | relaxed

density of states at the Fermi level = 6.4 states/eV/cell
ΔH_f (0 K) = -25.4 kJ/mol of atoms
SG = R-3m

a b c (Å): 5.1326 5.1326 9.6988
angles (deg): 74.66 74.66 60.00
With the nearest neighbours (Å) after each atom.
Positions (direct):
La: 0.0000 0.0000 0.0000  6 Pb 3.50, 2 Pr 3.65, 6 Mg 3.68
Pr: 0.1318 0.1318 0.6045  3 Mg 3.31, 3 Pb 3.46, 3 Pr 3.54, 1 La 3.65
Pr: 0.8682 0.8682 0.3955  3 Mg 3.31, 3 Pb 3.46, 3 Pr 3.54, 1 La 3.65
Mg: 0.5877 0.5877 0.2370  3 Pb 2.98, 3 Pr 3.31
Mg: 0.4123 0.4123 0.7630  3 Pb 2.98, 3 Pr 3.31
Pb: 0.7339 0.7339 0.7982  3 Mg 2.98
Pb: 0.2661 0.2661 0.2018  3 Mg 2.98


9.
LiYCl4 | PBE-GGA | relaxed

E_form (uncorrected) = -2.085 eV per atom
density of states at the Fermi level = 0.0 states/eV/cell
SG = C2/c

a b c (Å): 6.4880 6.3571 9.3971
angles (deg): 106.07 106.56 100.25
With the nearest neighbours (Å) after each atom.
Positions (direct):
Li: 0.3664 0.6164 0.2329  4 Cl 2.36-2.61
Li: 0.6336 0.3836 0.7671  4 Cl 2.36-2.61
Y: 0.8298 0.0798 0.1595  6 Cl 2.55-2.80
Y: 0.1702 0.9202 0.8405  6 Cl 2.55-2.80
Cl: 0.3021 0.0806 0.6511  1 Li 2.36, 1 Y 2.55
Cl: 0.0898 0.8106 0.0926  1 Li 2.61, 2 Y 2.68-2.80
Cl: 0.1510 0.4295 0.3489  1 Li 2.36, 1 Y 2.55
Cl: 0.4971 0.7180 0.9074  1 Li 2.61, 2 Y 2.68-2.80
Cl: 0.6979 0.9194 0.3489  1 Li 2.36, 1 Y 2.55
Cl: 0.8490 0.5705 0.6511  1 Li 2.36, 1 Y 2.55
Cl: 0.9102 0.1894 0.9074  1 Li 2.61, 2 Y 2.68-2.80
Cl: 0.5029 0.2820 0.0926  1 Li 2.61, 2 Y 2.68-2.80


10.
CaSi2Au8 | PBE-GGA | relaxed

E_form (uncorrected) = -0.167 eV per atom
density of states at the Fermi level = 3.0 states/eV/cell
SG = C2/m

a b c (Å): 4.9751 6.9159 6.9159
angles (deg): 111.83 93.56 93.56
With the nearest neighbours (Å) after each atom.
Positions (direct):
Ca: 0.5000 0.0000 0.0000  12 Au 3.13-3.21
Si: 0.0000 0.3120 0.6880  8 Au 2.53-2.64
Si: 0.0000 0.6880 0.3120  8 Au 2.53-2.64
Au: 0.9678 0.9442 0.6900  2 Si 2.54-2.58, 1 Au 2.82
Au: 0.9678 0.6900 0.9442  2 Si 2.54-2.58, 1 Au 2.82
Au: 0.2853 0.5947 0.5947  2 Si 2.64, 5 Au 2.72-2.93
Au: 0.5000 0.7268 0.2732  2 Si 2.53
Au: 0.5000 0.2732 0.7268  2 Si 2.53
Au: 0.7147 0.4053 0.4053  2 Si 2.64, 5 Au 2.72-2.93
Au: 0.0322 0.3100 0.0558  2 Si 2.54-2.58, 1 Au 2.82
Au: 0.0322 0.0558 0.3100  2 Si 2.54-2.58, 1 Au 2.82


11.
InNiSnAu2 | PBE-GGA | relaxed

density of states at the Fermi level = 12.9 states/eV/cell
ΔH_f (0 K) = 93.8 kJ/mol of atoms
SG = P4/mmm

a b c (Å): 5.1578 5.7274 5.1578
angles (deg): 90.00 90.00 90.00
With the nearest neighbours (Å) after each atom.
Positions (direct):
Ni: 0.5000 0.5000 0.5000  4 In 3.65, 8 Au 3.85
Au: 0.0000 0.0000 0.5000  2 Sn 2.58
Au: 0.5000 0.0000 0.0000  2 Sn 2.58
Sn: 0.0000 0.0000 0.0000  4 Au 2.58, 2 In 2.86
In: 0.0000 0.5000 0.0000  2 Sn 2.86


12.
Pu3Be2Si4 | PBE-GGA | relaxed

E_form (uncorrected) = -0.377 eV per atom
density of states at the Fermi level = 23.3 states/eV/cell
SG = C2/m

a b c (Å): 3.9584 5.7054 8.0091
angles (deg): 111.14 90.00 110.30
With the nearest neighbours (Å) after each atom.
Positions (direct):
Pu: 0.6081 0.2162 0.6690  1 Pu 2.80, 8 Si 2.92-3.12, 3 Be 2.98-3.13
Pu: 0.0000 0.0000 0.0000  8 Si 2.99-3.18, 4 Be 3.20
Pu: 0.3919 0.7838 0.3310  1 Pu 2.80, 8 Si 2.92-3.12, 3 Be 2.98-3.13
Be: 0.6797 0.3594 0.3146  4 Si 2.24-2.41
Be: 0.3203 0.6407 0.6854  4 Si 2.24-2.41
Si: 0.7248 0.4496 0.0640  1 Be 2.24, 2 Si 2.38
Si: 0.2752 0.5504 0.9360  1 Be 2.24, 2 Si 2.38
Si: 0.8746 0.7492 0.5962  3 Be 2.25-2.41
Si: 0.1254 0.2508 0.4038  3 Be 2.25-2.41


13.
KCaBi2Se | PBE-GGA | relaxed

E_form (uncorrected) = -0.152 eV per atom
density of states at the Fermi level = 6.3 states/eV/cell
SG = P4/mmm

a b c (Å): 6.0013 5.5334 6.0013
angles (deg): 90.00 90.00 90.00
With the nearest neighbours (Å) after each atom.
Positions (direct):
K: 0.5000 0.5000 0.5000  8 Bi 4.08, 4 Se 4.24
Ca: 0.0000 0.0000 0.0000  2 Se 2.77, 4 Bi 3.00
Bi: 0.0000 0.0000 0.5000  2 Ca 3.00
Bi: 0.5000 0.0000 0.0000  2 Ca 3.00
Se: 0.0000 0.5000 0.0000  2 Ca 2.77


14.
RbZnGeSe | PBE-GGA | relaxed

E_form (uncorrected) = -0.243 eV per atom
density of states at the Fermi level = 1.2 states/eV/cell
SG = P1

a b c (Å): 3.7814 4.7869 7.3710
angles (deg): 86.97 75.27 66.83
With the nearest neighbours (Å) after each atom.
Positions (direct):
Zn: 0.5592 0.7140 0.1795  3 Ge 2.58-2.66, 1 Se 2.68
Ge: 0.2433 0.2991 0.2220  3 Zn 2.58-2.66, 2 Se 2.67-2.68
Se: 0.5706 0.3837 0.4850  2 Ge 2.67-2.68, 1 Zn 2.68
Rb: 0.1146 0.9918 0.7883  3 Se 3.35-3.41, 2 Zn 3.63


15.
AcHgGe2 | PBE-GGA | relaxed

density of states at the Fermi level = 2.7 states/eV/cell
ΔH_f (0 K) = -16.9 kJ/mol of atoms
SG = R-3m

a b c (Å): 5.5924 5.5924 5.0616
angles (deg): 56.47 56.47 60.00
With the nearest neighbours (Å) after each atom.
Positions (direct):
Ac: 0.5000 0.5000 0.5000  8 Ge 3.17-3.31
Ge: 0.2291 0.2291 0.3128  1 Hg 2.68
Ge: 0.7709 0.7709 0.6872  1 Hg 2.68
Hg: 0.0000 0.0000 0.0000  2 Ge 2.68


16.
SrCaNd2 | PBE-GGA | relaxed

density of states at the Fermi level = 6.1 states/eV/cell
ΔH_f (0 K) = 15.8 kJ/mol of atoms
SG = P4/mmm

a b c (Å): 5.7832 5.2411 5.2411
angles (deg): 90.00 90.00 90.00
With the nearest neighbours (Å) after each atom.
Positions (direct):
Sr: 0.5000 0.5000 0.5000  4 Ca 3.71, 8 Nd 3.90
Ca: 0.5000 0.0000 0.0000  4 Sr 3.71, 8 Nd 3.90
Nd: 0.0000 0.0000 0.5000  4 Nd 3.71, 4 Sr 3.90, 4 Ca 3.90
Nd: 0.0000 0.5000 0.0000  4 Nd 3.71, 4 Ca 3.90, 4 Sr 3.90


17.
BaSr2Ge2 | PBE-GGA | relaxed

density of states at the Fermi level = 6.7 states/eV/cell
ΔH_f (0 K) = -37.3 kJ/mol of atoms
SG = P4/mbm

a b c (Å): 9.4058 9.4058 3.6067
angles (deg): 90.00 90.00 90.00
With the nearest neighbours (Å) after each atom.
Positions (direct):
Sr: 0.3745 0.8745 0.0000  6 Ge 3.21-3.38, 1 Sr 3.34
Sr: 0.8745 0.6255 0.0000  6 Ge 3.21-3.38, 1 Sr 3.34
Sr: 0.6255 0.1255 0.0000  6 Ge 3.21-3.38, 1 Sr 3.34
Sr: 0.1255 0.3745 0.0000  6 Ge 3.21-3.38, 1 Sr 3.34
Ge: 0.1745 0.6745 0.5000  6 Sr 3.21-3.38
Ge: 0.6745 0.8255 0.5000  6 Sr 3.21-3.38
Ge: 0.8255 0.3255 0.5000  6 Sr 3.21-3.38
Ge: 0.3255 0.1745 0.5000  6 Sr 3.21-3.38
Ba: 0.0000 0.0000 0.0000  2 Ba 3.61, 4 Sr 3.72, 8 Ge 3.91
Ba: 0.5000 0.5000 0.0000  2 Ba 3.61, 4 Sr 3.72, 8 Ge 3.91


18.
LiAsPtSe2 | PBE-GGA | relaxed

E_form (uncorrected) = 0.120 eV per atom
density of states at the Fermi level = 4.5 states/eV/cell
SG = P4/mmm

a b c (Å): 5.2748 5.2748 4.6405
angles (deg): 90.00 90.00 90.00
With the nearest neighbours (Å) after each atom.
Positions (direct):
As: 0.0000 0.0000 0.5000  2 Pt 2.32
Se: 0.0000 0.5000 0.0000  2 Pt 2.64
Se: 0.5000 0.0000 0.0000  2 Pt 2.64
Pt: 0.0000 0.0000 0.0000  2 As 2.32
Li: 0.5000 0.5000 0.5000  8 Se 3.51, 4 As 3.73


19.
LiCaEu | PBE-GGA | relaxed

density of states at the Fermi level = 9.4 states/eV/cell
ΔH_f (0 K) = 3.7 kJ/mol of atoms
SG = I4mm

a b c (Å): 3.9829 3.9829 7.3068
angles (deg): 105.82 105.82 90.00
With the nearest neighbours (Å) after each atom.
Positions (direct):
Eu: 0.3159 0.3159 0.6317  4 Li 3.49
Ca: 0.0216 0.0216 0.0432  4 Li 3.40
Li: 0.6625 0.6625 0.3250  4 Ca 3.40, 4 Eu 3.49


20.
ScSiHg2 | PBE-GGA | relaxed

E_form (uncorrected) = -0.033 eV per atom
density of states at the Fermi level = 2.3 states/eV/cell
SG = C2/m

a b c (Å): 6.1691 6.1691 3.3595
angles (deg): 73.86 73.86 123.14
With the nearest neighbours (Å) after each atom.
Positions (direct):
Hg: 0.0000 0.0000 0.0000  4 Hg 2.90-2.94, 2 Sc 3.07, 2 Si 3.07
Hg: 0.5000 0.5000 0.0000  4 Hg 2.90-2.94, 2 Si 3.07, 2 Sc 3.07
Sc: 0.5000 0.0000 0.5000  4 Si 2.90-2.94, 4 Hg 3.07
Si: 0.0000 0.5000 0.5000  4 Sc 2.90-2.94, 4 Hg 3.07


21.
Rb2UBiS5 | PBE-GGA | relaxed

E_form (uncorrected) = -1.012 eV per atom
density of states at the Fermi level = 8.3 states/eV/cell
SG = Cmc2_1

a b c (Å): 4.2401 8.9903 15.6606
angles (deg): 90.00 90.00 103.64
With the nearest neighbours (Å) after each atom.
Positions (direct):
Rb: 0.8510 0.7021 0.7992  7 S 3.31-3.69
Rb: 0.0888 0.1776 0.6678  6 S 3.25-3.60
Rb: 0.1490 0.2979 0.2992  7 S 3.31-3.69
Rb: 0.9112 0.8224 0.1678  6 S 3.25-3.60
U: 0.7812 0.5623 0.5270  6 S 2.50-2.75
U: 0.2188 0.4377 0.0270  6 S 2.50-2.75
Bi: 0.5311 0.0622 0.9432  2 S 2.49-2.79
Bi: 0.4689 0.9378 0.4432  2 S 2.49-2.79
S: 0.3585 0.7170 0.9917  1 U 2.50
S: 0.6893 0.3787 0.9198  2 U 2.75, 1 Bi 2.79
S: 0.4962 0.9923 0.7887  1 Bi 2.49
S: 0.2720 0.5441 0.6313  2 U 2.68
S: 0.9282 0.8563 0.5553  1 U 2.61, 2 Bi 2.84
S: 0.6415 0.2830 0.4917  1 U 2.50
S: 0.3107 0.6213 0.4198  2 U 2.75, 1 Bi 2.79
S: 0.5038 0.0077 0.2887  1 Bi 2.49
S: 0.7280 0.4559 0.1313  2 U 2.68
S: 0.0718 0.1437 0.0553  1 U 2.61, 2 Bi 2.84